Record 1
A plane-wave DFT calculation with PBE-GGA was carried out for a geometry-optimized Er2TlHg structure.

```
4
Lattice="5.280 0.001 0.000 2.640 4.572 0.000 2.640 1.524 4.311" Properties=species:S:1:pos:R:3 pbc="T T T"
Er 5.280 3.049 2.156
Er 10.561 6.097 4.311
Tl 7.921 4.573 3.234
Hg 2.640 1.524 1.078
```

For the theoretical density, the calculation gives 11.80 Mg/m³. The magnetic moment is 0.00 μB/atom. Its formation enthalpy at 0 K is -0.39 eV per atom. For the final energy, the calculation gives -13.36 eV for the cell shown.

***

Record 2
A plane-wave DFT calculation with PBE-GGA was carried out for a geometry-optimized Er12Tl2Hg5 structure.

```
19
Lattice="-7.388 -1.290 0.413 4.984 -4.988 5.275 -0.949 7.364 6.029" Properties=species:S:1:pos:R:3 pbc="T T T"
Tl -5.324 -0.929 0.297
Hg -4.100 3.916 7.202
Er -1.246 -1.057 6.727
Hg -3.461 -0.485 4.882
Er -3.930 1.331 2.153
Er -2.108 2.142 4.990
Tl -2.064 -0.360 0.115
Er -5.233 -2.059 3.217
Hg -0.474 3.682 3.015
Er -1.901 2.484 8.711
Er 1.880 3.144 8.500
Er 2.248 -0.447 6.531
Er -1.452 -1.399 3.006
Hg 0.108 1.570 6.835
Hg 0.746 -2.830 4.515
Er -0.558 5.073 5.875
Er 0.577 -0.245 9.564
Er -2.796 -3.988 5.842
Er -5.602 1.533 5.185
```

For the theoretical density, the calculation gives 10.00 Mg/m³. The magnetic moment is 0.00 μB/atom. Its formation enthalpy at 0 K is -0.12 eV per atom. For the final energy, the calculation gives -63.30 eV for the cell shown.